Material: Na3MnF4
Method: DFT, PBE with a Hubbard U
State: optimized geometry

Geometry as POSCAR:
```
Na3MnF4
1.0
4.4332 0.0000 -1.9676
-0.8733 4.3464 -1.9676
-0.0305 -0.0372 5.9094
F Na Mn
4 3 1
direct
0.7583 0.7583 0.5166
0.2417 0.2417 0.4834
0.5000 0.0000 0.0000
0.0000 0.5000 0.0000
0.7500 0.2500 0.5000
0.2500 0.7500 0.5000
0.5000 0.5000 0.0000
0.0000 0.0000 0.0000
```

Summary:
The density is 2932 kg/m³. The value obtained for the energy is -4.655 eV per atom. For the total moment, the calculation gives 5.43 μB/cell. Its symmetry is I4/mmm (139).